[1]
{
  "formula": "Ac2TbTl4",
  "functional": "GGA-PBE",
  "state": "relaxed",
  "relative_energy_ev_per_fu": 0.00,
  "delta_e_f_ev_per_atom": -0.28,
  "lattice_angstrom": [[6.513, 0.000, 0.000], [0.000, 6.622, 0.000], [-2.488, 0.000, 10.496]],
  "species": ["Ac", "Ac", "Ac", "Ac", "Tb", "Tb", "Tl", "Tl", "Tl", "Tl", "Tl", "Tl", "Tl", "Tl"],
  "frac_coords": [[0.133, 0.250, 0.419], [0.334, 0.750, 0.000], [0.666, 0.250, 0.000], [0.867, 0.750, 0.581], [0.057, 0.250, 0.803], [0.943, 0.750, 0.197], [0.192, 0.250, 0.109], [0.305, 0.750, 0.442], [0.402, 0.506, 0.713], [0.402, 0.994, 0.713], [0.598, 0.006, 0.287], [0.598, 0.494, 0.287], [0.695, 0.250, 0.558], [0.808, 0.750, 0.891]]
}



[2]
{
  "formula": "TlTcB2Pb",
  "functional": "GGA-PBE",
  "state": "relaxed",
  "delta_e_f_ev_per_atom": 2.47,
  "lattice_angstrom": [[4.510, 0.000, 0.000], [0.000, 4.510, 0.000], [0.000, 0.000, 6.106]],
  "species": ["Tl", "Tc", "B", "B", "Pb"],
  "frac_coords": [[0.000, 0.000, 0.000], [0.500, 0.500, 0.000], [0.000, 0.500, 0.500], [0.500, 0.000, 0.500], [0.000, 0.000, 0.500]]
}



[3]
{
  "formula": "Sc2GaSi2Ir5",
  "functional": "GGA-PBE",
  "state": "relaxed",
  "formation_energy_uncorrected_ev_per_atom": -0.864,
  "lattice_angstrom": [[9.419, 0.000, 0.000], [0.000, 9.419, 0.000], [0.000, 0.000, 3.480]],
  "species": ["Sc", "Sc", "Sc", "Sc", "Ga", "Ga", "Si", "Si", "Si", "Si", "Ir", "Ir", "Ir", "Ir", "Ir", "Ir", "Ir", "Ir", "Ir", "Ir"],
  "frac_coords": [[0.173, 0.327, 0.000], [0.327, 0.827, 0.000], [0.673, 0.173, 0.000], [0.827, 0.673, 0.000], [0.000, 0.000, 0.000], [0.500, 0.500, 0.000], [0.127, 0.627, 0.000], [0.373, 0.127, 0.000], [0.627, 0.873, 0.000], [0.873, 0.373, 0.000], [0.000, 0.500, 0.500], [0.069, 0.793, 0.500], [0.207, 0.069, 0.500], [0.293, 0.569, 0.500], [0.431, 0.293, 0.500], [0.500, 0.000, 0.500], [0.569, 0.707, 0.500], [0.707, 0.431, 0.500], [0.793, 0.931, 0.500], [0.931, 0.207, 0.500]]
}



Volume: 32.33, 24.84, 15.44 (Å³ per atom)